# 1
Computed, not measured: a geometry-optimized Dy3Y7Tm structure at the PBE level of DFT.

```
11
Lattice="7.0674 0.0000 0.0000 -3.5337 6.1206 0.0000 0.0000 0.0000 8.5828" Properties=species:S:1:pos:R:3 pbc="T T T"
Dy -1.7627 3.0627 0.0000
Dy 1.7627 3.0627 0.0000
Dy 0.0000 6.1158 0.0000
Y 0.0000 2.0567 2.8748
Y -1.7526 5.0923 2.8748
Y 1.7778 1.0264 5.7333
Y 1.7526 5.0923 2.8748
Y 3.5337 2.0402 2.8854
Y 5.2897 1.0264 5.7333
Y 3.5337 4.0678 5.7333
Tm 0.0000 4.0804 5.7125
```

ρ (g/cm3): 5.72

---

# 2
Computed, not measured: a geometry-optimized Dy7Y3Tm structure at the PBE level of DFT.

```
11
Lattice="6.9933 0.0000 0.0000 0.0000 5.5156 0.0000 -3.4015 0.0000 9.2463" Properties=species:S:1:pos:R:3 pbc="T T T"
Dy 0.0000 0.0000 0.0000
Dy 0.0372 2.7578 2.7065
Dy 0.0761 2.7578 5.9217
Dy 0.1089 0.0000 7.6711
Dy 3.4829 0.0000 1.5752
Dy 3.5157 2.7578 3.3245
Dy 3.5546 2.7578 6.5398
Y -1.7007 0.0000 4.6231
Y -1.4461 2.7578 9.2267
Y 5.0379 2.7578 0.0196
Tm 1.7959 0.0000 4.6231
```

ρ (g/cm3): 7.32

---

# 3
Computed, not measured: a geometry-optimized Dy2YTm structure at the PBE level of DFT.

```
4
Lattice="5.0038 0.0000 0.0000 0.0000 5.0038 0.0000 0.0000 0.0000 4.9984" Properties=species:S:1:pos:R:3 pbc="T T T"
Dy 0.0000 2.5019 0.0000
Dy 2.5019 0.0000 0.0000
Y 0.0000 0.0000 2.4992
Tm 2.5019 2.5019 2.4992
```

ρ (g/cm3): 7.73

---

# 4
Computed, not measured: a geometry-optimized DyY8Tm2 structure at the PBE level of DFT.

```
11
Lattice="7.1375 -3.2890 0.0000 7.1375 3.2890 0.0000 -5.0843 0.0000 7.7403" Properties=species:S:1:pos:R:3 pbc="T T T"
Dy 0.0000 0.0000 0.0000
Y -2.3031 0.0000 6.2153
Y 2.7420 1.6799 4.2964
Y 6.4487 1.6799 3.4439
Y 0.7508 0.0000 6.6603
Y 8.4399 0.0000 1.0800
Y 2.7420 -1.6799 4.2964
Y 6.4487 -1.6799 3.4439
Y 11.4938 0.0000 1.5250
Tm 3.5837 0.0000 1.5452
Tm 5.6070 0.0000 6.1951
```

ρ (g/cm3): 5.54

---

# 5
Computed, not measured: a geometry-optimized Dy4YTm6 structure at the PBE level of DFT.

```
22
Lattice="2.7892 -4.8036 0.0000 2.7892 4.8036 0.0000 0.0000 0.0000 25.4358" Properties=species:S:1:pos:R:3 pbc="T T T"
Dy 2.7892 4.7577 15.8134
Dy 2.7892 4.7577 22.3404
Dy 2.7892 1.5872 13.7868
Dy 2.7892 1.5872 24.3669
Dy 2.7892 -1.5872 1.0689
Dy 2.7892 -1.5872 11.6490
Dy 2.7892 -4.7577 3.0955
Dy 2.7892 -4.7577 9.6224
Y 2.7892 1.6437 6.3590
Y 2.7892 -1.6437 19.0769
Tm 0.0000 0.0000 0.0000
Tm 0.0000 0.0000 12.7179
Tm 2.7892 4.7578 19.0769
Tm 2.7892 1.6385 2.6407
Tm 2.7892 1.6385 10.0772
Tm 2.7892 1.5585 17.3367
Tm 2.7892 1.5585 20.8170
Tm 2.7892 -1.5585 4.6188
Tm 2.7892 -1.5585 8.0991
Tm 2.7892 -1.6385 15.3586
Tm 2.7892 -1.6385 22.7951
Tm 2.7892 -4.7578 6.3590
```

ρ (g/cm3): 8.54

---

# 6
Computed, not measured: a geometry-optimized Dy8YTm2 structure at the PBE level of DFT.

```
11
Lattice="5.3616 0.0000 0.0000 0.0000 6.5928 5.0767 0.0000 -6.5928 5.0767" Properties=species:S:1:pos:R:3 pbc="T T T"
Dy 0.0000 0.0000 0.0000
Dy 0.0000 0.0000 3.3256
Dy 0.0000 -3.3516 6.7349
Dy 0.0000 3.3516 6.7349
Dy 2.6808 -1.7889 5.0643
Dy 2.6808 1.7889 5.0643
Dy 2.6808 -1.7920 8.4148
Dy 2.6808 1.7920 8.4148
Y 0.0000 0.0000 6.7401
Tm 2.6808 -1.5756 1.6620
Tm 2.6808 1.5756 1.6620
```

ρ (g/cm3): 7.99

---

# 7
Computed, not measured: a geometry-optimized Dy5YTm7 structure at the PBE level of DFT.

```
13
Lattice="-3.3194 5.4914 5.7117 3.3194 -5.4914 5.7117 3.3194 5.4914 -5.7117" Properties=species:S:1:pos:R:3 pbc="T T T"
Dy 0.0000 0.0000 0.0000
Dy 1.5340 2.9968 0.0591
Dy 1.7854 -2.4946 5.7708
Dy 1.5340 7.9859 0.0591
Dy 1.7854 2.4946 5.7708
Y 0.0000 5.4914 2.3218
Tm 3.3194 0.0000 0.1454
Tm 3.3194 3.6589 -2.7961
Tm 3.3194 0.0000 3.6128
Tm 0.0000 1.8324 2.9156
Tm 0.0000 0.0000 5.7757
Tm 3.3194 3.6004 2.8856
Tm 0.0000 1.8910 8.5973
```

ρ (g/cm3): 8.31

---

# 8
Computed, not measured: a geometry-optimized DyY5Tm3 structure at the PBE level of DFT.

```
18
Lattice="8.0252 -3.3231 0.0000 8.0252 3.3231 0.0000 -3.6506 0.0000 11.0828" Properties=species:S:1:pos:R:3 pbc="T T T"
Dy 5.2872 2.0391 8.3121
Dy 7.1125 -2.0391 2.7707
Y 0.6825 1.2954 8.4828
Y 3.0760 0.3634 6.0906
Y 7.1125 1.3312 2.7707
Y 4.9013 -0.3634 0.5492
Y 2.5078 -1.2954 2.9415
Y 9.8920 1.2954 8.1413
Y 7.4984 0.3634 10.5336
Y 5.2872 -1.3312 8.3121
Y 9.3237 -0.3634 4.9922
Y 11.7173 -1.2954 2.5999
Tm 1.6646 0.3460 0.1496
Tm -0.1607 -0.3460 5.6910
Tm 8.0252 0.0000 0.0000
Tm 6.1999 0.0000 5.5414
Tm 12.5604 0.3460 5.3917
Tm 10.7351 -0.3460 10.9331
```

ρ (g/cm3): 6.26

---

# 9
Computed, not measured: a geometry-optimized Dy3Y2Tm3 structure at the PBE level of DFT.

```
8
Lattice="-2.4934 2.4956 9.9925 2.4934 -2.4956 9.9925 2.4934 2.4956 -9.9925" Properties=species:S:1:pos:R:3 pbc="T T T"
Dy 0.0000 0.0000 0.0000
Dy 2.4934 0.0000 7.5254
Dy 0.0000 2.4956 2.4672
Y 0.0000 0.0000 4.9919
Y 0.0000 0.0000 14.9932
Tm 2.4934 0.0000 2.4765
Tm 0.0000 0.0000 9.9925
Tm 0.0000 2.4956 7.5160
```

ρ (g/cm3): 7.83

---

# 10
Computed, not measured: a geometry-optimized Dy7Y2Tm structure at the PBE level of DFT.

```
10
Lattice="4.2749 -8.8773 0.0000 4.2749 8.8773 0.0000 0.0000 0.0000 5.0431" Properties=species:S:1:pos:R:3 pbc="T T T"
Dy 0.0000 0.0000 0.0000
Dy 2.7280 1.8403 0.0000
Dy 4.2749 3.3823 2.5216
Dy 2.7280 -1.8403 0.0000
Dy 5.8217 1.8403 0.0000
Dy 4.2749 -3.3823 2.5216
Dy 5.8217 -1.8403 0.0000
Y 4.2749 5.2671 0.0000
Y 4.2749 -5.2671 0.0000
Tm 4.2749 0.0000 2.5216
```

ρ (g/cm3): 6.44

---

# 11
Computed, not measured: a geometry-optimized Dy3Y2Tm structure at the PBE level of DFT.

```
12
Lattice="7.1520 0.0000 0.0000 -3.5732 6.1969 0.0000 -1.7838 -1.0350 8.5370" Properties=species:S:1:pos:R:3 pbc="T T T"
Dy 6.2583 1.5427 0.0093
Dy -4.4632 3.6191 8.5277
Dy -2.6773 4.6504 5.6999
Dy 0.8970 0.5122 2.8442
Dy 0.8981 4.6496 5.6928
Dy 4.4724 0.5114 2.8371
Y -0.8910 1.5442 5.6949
Y -0.8899 3.6179 2.8504
Y 2.6850 1.5440 5.6866
Y 2.6861 3.6177 2.8421
Tm 2.6829 1.5434 0.0074
Tm -0.8878 3.6184 8.5296
```

ρ (g/cm3): 7.32

---

# 12
Computed, not measured: a geometry-optimized DyY8Tm2 structure at the PBE level of DFT.

```
11
Lattice="4.5150 -8.1398 0.0000 4.5150 8.1398 0.0000 -3.3307 0.0000 4.8485" Properties=species:S:1:pos:R:3 pbc="T T T"
Dy 0.0000 0.0000 0.0000
Y -0.2994 1.9583 3.3077
Y 4.5150 4.8000 0.0000
Y -0.2994 -1.9583 3.3077
Y 3.2070 0.0000 1.0084
Y 2.4923 0.0000 3.8400
Y 5.9987 1.9583 1.5408
Y 4.5150 -4.8000 0.0000
Y 5.9987 -1.9583 1.5408
Tm 2.8496 3.1095 2.4242
Tm 2.8496 -3.1095 2.4242
```

ρ (g/cm3): 5.65

---

# 13
Computed, not measured: a geometry-optimized DyY9Tm2 structure at the PBE level of DFT.

```
12
Lattice="5.0295 0.0000 0.0000 0.0000 5.0295 0.0000 0.0000 0.0000 15.0869" Properties=species:S:1:pos:R:3 pbc="T T T"
Dy 0.0000 0.0000 0.0000
Y 0.0000 2.5148 2.5260
Y 0.0000 2.5148 7.5434
Y 0.0000 2.5148 12.5609
Y 2.5148 0.0000 2.5260
Y 2.5148 0.0000 7.5434
Y 2.5148 0.0000 12.5609
Y 2.5148 2.5148 0.0000
Y 2.5148 2.5148 5.0381
Y 2.5148 2.5148 10.0488
Tm 0.0000 0.0000 5.0342
Tm 0.0000 0.0000 10.0527
```

ρ (g/cm3): 5.66

---

# 14
Computed, not measured: a geometry-optimized DyY2Tm6 structure at the PBE level of DFT.

```
9
Lattice="3.5550 0.0000 0.0000 -1.7775 3.0787 0.0000 0.0000 0.0000 34.0946" Properties=species:S:1:pos:R:3 pbc="T T T"
Dy 0.0000 0.0000 0.0000
Y 0.0000 2.0525 2.8684
Y 0.0000 2.0525 31.2262
Tm 0.0000 0.0000 5.6872
Tm 0.0000 0.0000 11.1916
Tm 0.0000 0.0000 22.9031
Tm 0.0000 0.0000 28.4074
Tm 0.0000 2.0525 8.4782
Tm 0.0000 2.0525 25.6164
```

ρ (g/cm3): 6.02

---

# 15
Computed, not measured: a geometry-optimized DyYTm4 structure at the PBE level of DFT.

```
6
Lattice="3.4702 0.0000 0.0000 -0.0085 5.5361 0.0000 -0.0019 -0.0212 9.5998" Properties=species:S:1:pos:R:3 pbc="T T T"
Dy 0.0000 0.0000 0.0000
Y -0.0052 2.7574 4.7999
Tm 1.7300 -0.0067 3.1965
Tm 1.7274 2.7512 8.0006
Tm 1.7297 5.5216 6.4032
Tm 1.7324 2.7637 1.5992
```

ρ (g/cm3): 8.35

---

# 16
Computed, not measured: a geometry-optimized Dy2YTm3 structure at the PBE level of DFT.

```
12
Lattice="8.6247 -3.5211 0.0000 8.6247 3.5211 0.0000 -0.0052 0.0000 6.0904" Properties=species:S:1:pos:R:3 pbc="T T T"
Dy 2.8739 0.8775 2.5448
Dy 2.8713 -0.8775 5.5900
Dy 14.3730 0.8775 0.5004
Dy 14.3704 -0.8775 3.5457
Y 8.6209 0.8864 4.5678
Y 8.6234 -0.8864 1.5226
Tm 8.6234 2.6447 1.5226
Tm 5.7429 0.8820 0.5111
Tm 5.7403 -0.8820 3.5563
Tm 11.5040 0.8820 2.5341
Tm 11.5014 -0.8820 5.5793
Tm 8.6209 -2.6447 4.5678
```

ρ (g/cm3): 8.27

---

# 17
Computed, not measured: a geometry-optimized Dy2YTm structure at the PBE level of DFT.

```
4
Lattice="1.7828 1.0293 11.3936 -1.7828 1.0293 11.3936 0.0000 -2.0586 11.3936" Properties=species:S:1:pos:R:3 pbc="T T T"
Dy 0.0000 0.0000 0.0000
Dy 0.0000 0.0000 5.7345
Y 0.0000 0.0000 14.2759
Tm 0.0000 0.0000 19.9538
```

ρ (g/cm3): 7.72

---

# 18
Computed, not measured: a geometry-optimized DyY4Tm7 structure at the PBE level of DFT.

```
12
Lattice="5.9852 -2.9022 0.0000 5.9852 2.9022 0.0000 -5.9461 0.0000 11.1070" Properties=species:S:1:pos:R:3 pbc="T T T"
Dy 0.0000 0.0000 0.0000
Y -2.9352 0.0000 8.6129
Y 1.2033 0.0000 7.5454
Y 4.8211 0.0000 3.5616
Y 8.9596 0.0000 2.4941
Tm -1.3677 0.0000 5.5611
Tm 1.1706 0.0000 3.5553
Tm 2.9890 0.0000 0.8393
Tm 5.9852 0.0000 0.0000
Tm 3.0354 0.0000 10.2677
Tm 4.8538 0.0000 7.5517
Tm 7.3921 0.0000 5.5459
```

ρ (g/cm3): 7.32

---

# 19
Computed, not measured: a geometry-optimized DyY10Tm4 structure at the PBE level of DFT.

```
15
Lattice="-6.0565 6.0565 3.8303 6.0565 -6.0565 3.8303 6.0565 6.0565 -3.8303" Properties=species:S:1:pos:R:3 pbc="T T T"
Dy 0.0000 0.0000 0.0000
Y 7.2726 3.6331 -1.9072
Y 3.6331 4.8404 -1.9072
Y 6.0565 0.0000 1.9152
Y 2.4235 1.2161 1.9231
Y -1.2161 2.4235 1.9231
Y 7.2726 3.6331 1.9072
Y 3.6331 4.8404 1.9072
Y 0.0000 6.0565 1.9152
Y 2.4235 1.2161 5.7376
Y -1.2161 2.4235 5.7376
Tm 4.8467 2.4138 0.0000
Tm 3.6427 -1.2098 3.8303
Tm 2.4138 7.2663 0.0000
Tm 1.2098 3.6427 3.8303
```

ρ (g/cm3): 5.10

---

# 20
Computed, not measured: a geometry-optimized Dy4YTm4 structure at the PBE level of DFT.

```
9
Lattice="-5.2884 5.2884 2.4849 5.2884 -5.2884 2.4849 5.2884 5.2884 -2.4849" Properties=species:S:1:pos:R:3 pbc="T T T"
Dy 3.5245 0.0000 0.0000
Dy 7.0524 0.0000 0.0000
Dy 0.0000 3.5245 0.0000
Dy 0.0000 7.0524 0.0000
Y 0.0000 0.0000 0.0000
Tm 3.5209 3.5209 0.0000
Tm 1.7675 -1.7675 2.4849
Tm -1.7675 1.7675 2.4849
Tm 1.7675 1.7675 2.4849
```

ρ (g/cm3): 8.45

---

# 21
Computed, not measured: a geometry-optimized Dy2YTm6 structure at the PBE level of DFT.

```
18
Lattice="6.3145 -7.0255 0.0000 6.3145 7.0255 0.0000 -1.5688 0.0000 6.2791" Properties=species:S:1:pos:R:3 pbc="T T T"
Dy 1.2109 0.3350 2.3230
Dy 0.4265 -0.3350 5.4626
Dy 10.6338 0.3350 0.8165
Dy 9.8494 -0.3350 3.9561
Y 5.1379 1.6724 4.7093
Y 5.9223 -1.6724 1.5698
Tm 1.8686 2.8144 4.5744
Tm 4.2813 4.4206 6.2591
Tm 5.9946 4.4206 3.1596
Tm 4.3270 1.2527 1.1613
Tm 2.6530 -2.8144 1.4348
Tm 3.5426 -1.2527 4.3009
Tm 7.5177 1.2527 1.9782
Tm 8.4073 2.8144 4.8443
Tm 6.7333 -1.2527 5.1178
Tm 5.0657 -4.4206 3.1195
Tm 6.7790 -4.4206 0.0200
Tm 9.1917 -2.8144 1.7047
```

ρ (g/cm3): 8.51

---

Number 1: final energy -5.58 eV/atom. Number 2: final energy -4.95 eV/atom. Number 3: final energy -5.01 eV/atom. Number 4: final energy -5.64 eV/atom. Number 5: final energy -4.57 eV/atom. Number 6: final energy -4.56 eV/atom. Number 7: final energy -4.42 eV/atom. Number 8: final energy -5.37 eV/atom. Number 9: final energy -4.99 eV/atom. Number 10: final energy -4.27 eV/atom. Number 11: final energy -5.20 eV/atom. Number 12: final energy -5.77 eV/atom. Number 13: final energy -5.95 eV/atom. Number 14: final energy -4.76 eV/atom. Number 15: final energy -4.75 eV/atom. Number 16: final energy -4.82 eV/atom. Number 17: final energy -5.02 eV/atom. Number 18: final energy -4.85 eV/atom. Number 19: final energy -5.08 eV/atom. Number 20: final energy -4.73 eV/atom. Number 21: final energy -4.62 eV/atom.